# GGA-PBE Cs2KZnSb2, relaxed
# Spin magnetization ... 0.00 μB per cell
# Formation energy without anion corrections ... -2.02 eV/f.u.
# V ... 517 Å³/cell
# D(E_F) ... 10.4 states/eV per cell
data_Cs2KZnSb2
_symmetry_space_group_name_H-M 'P 1'
_symmetry_Int_Tables_number 1
_symmetry_space_group_name_Hall 'P 1'
_cell_length_a 8.483
_cell_length_b 7.514
_cell_length_c 9.894
_cell_angle_alpha 112.32
_cell_angle_beta 115.38
_cell_angle_gamma 90.00
loop_
_atom_site_label
_atom_site_fract_x
_atom_site_fract_y
_atom_site_fract_z
Sb1 0.767 0.083 0.166
Sb2 0.601 0.417 0.834
Sb3 0.233 0.917 0.834
Sb4 0.399 0.583 0.166
K1 0.000 0.750 0.000
K2 0.000 0.250 0.000
Zn1 0.500 0.750 0.000
Zn2 0.500 0.250 0.000
Cs1 0.553 0.830 0.659
Cs2 0.447 0.170 0.341
Cs3 0.106 0.330 0.659
Cs4 0.894 0.670 0.341



# GGA-PBE CsKSc2, relaxed
# ΔH_f (0 K) ... 0.757 eV per atom
# Spin magnetization ... 0.00 μB per cell
# V ... 147 Å³/cell
# D(E_F) ... 3.1 states/eV per cell
data_CsKSc2
_symmetry_space_group_name_H-M 'P 1'
_symmetry_Int_Tables_number 1
_symmetry_space_group_name_Hall 'P 1'
_cell_length_a 13.999
_cell_length_b 13.999
_cell_length_c 13.999
_cell_angle_alpha 14.38
_cell_angle_beta 14.38
_cell_angle_gamma 14.38
loop_
_atom_site_label
_atom_site_fract_x
_atom_site_fract_y
_atom_site_fract_z
Sc1 0.916 0.916 0.916
Sc2 0.084 0.084 0.084
Cs1 0.000 0.000 0.000
K1 0.500 0.500 0.500



# GGA-PBE CsKSc2, relaxed
# ΔH_f (0 K) ... 1.066 eV per atom
# Spin magnetization ... 2.70 μB per cell
# V ... 173 Å³/cell
# D(E_F) ... 5.0 states/eV per cell
data_CsKSc2
_symmetry_space_group_name_H-M 'P 1'
_symmetry_Int_Tables_number 1
_symmetry_space_group_name_Hall 'P 1'
_cell_length_a 6.254
_cell_length_b 6.254
_cell_length_c 6.254
_cell_angle_alpha 60.00
_cell_angle_beta 60.00
_cell_angle_gamma 60.00
loop_
_atom_site_label
_atom_site_fract_x
_atom_site_fract_y
_atom_site_fract_z
Cs1 0.500 0.500 0.500
Sc1 0.250 0.250 0.250
Sc2 0.750 0.750 0.750
K1 0.000 0.000 0.000



# GGA-PBE CsKSc2, relaxed
# ΔH_f (0 K) ... 1.057 eV per atom
# Spin magnetization ... 3.17 μB per cell
# V ... 206 Å³/cell
# D(E_F) ... 8.6 states/eV per cell
data_CsKSc2
_symmetry_space_group_name_H-M 'P 1'
_symmetry_Int_Tables_number 1
_symmetry_space_group_name_Hall 'P 1'
_cell_length_a 7.420
_cell_length_b 7.420
_cell_length_c 7.420
_cell_angle_alpha 47.96
_cell_angle_beta 47.96
_cell_angle_gamma 47.96
loop_
_atom_site_label
_atom_site_fract_x
_atom_site_fract_y
_atom_site_fract_z
Sc1 0.811 0.811 0.811
Sc2 0.189 0.189 0.189
Cs1 0.500 0.500 0.500
K1 0.000 0.000 0.000



# GGA-PBE CsKSc3, relaxed
# ΔH_f (0 K) ... 1.478 eV per atom
# Spin magnetization ... 0.00 μB per cell
# V ... 192 Å³/cell
# D(E_F) ... 7.4 states/eV per cell
data_CsKSc3
_symmetry_space_group_name_H-M 'P 1'
_symmetry_Int_Tables_number 1
_symmetry_space_group_name_Hall 'P 1'
_cell_length_a 5.764
_cell_length_b 5.764
_cell_length_c 5.764
_cell_angle_alpha 90.00
_cell_angle_beta 90.00
_cell_angle_gamma 90.00
loop_
_atom_site_label
_atom_site_fract_x
_atom_site_fract_y
_atom_site_fract_z
Sc1 0.500 0.000 0.000
Sc2 0.000 0.500 0.000
Sc3 0.000 0.000 0.500
K1 0.000 0.000 0.000
Cs1 0.500 0.500 0.500



# GGA-PBE CsKSc3, relaxed
# ΔH_f (0 K) ... 1.388 eV per atom
# Spin magnetization ... 0.00 μB per cell
# V ... 175 Å³/cell
# D(E_F) ... 4.9 states/eV per cell
data_CsKSc3
_symmetry_space_group_name_H-M 'P 1'
_symmetry_Int_Tables_number 1
_symmetry_space_group_name_Hall 'P 1'
_cell_length_a 5.595
_cell_length_b 5.595
_cell_length_c 5.595
_cell_angle_alpha 90.00
_cell_angle_beta 90.00
_cell_angle_gamma 90.00
loop_
_atom_site_label
_atom_site_fract_x
_atom_site_fract_y
_atom_site_fract_z
Cs1 0.000 0.000 0.000
K1 0.500 0.500 0.500
Sc1 0.500 0.000 0.000
Sc2 0.000 0.000 0.500
Sc3 0.000 0.500 0.000



# GGA-PBE CsK3Sc, relaxed
# ΔH_f (0 K) ... 0.965 eV per atom
# Spin magnetization ... 2.92 μB per cell
# V ... 389 Å³/cell
# D(E_F) ... 18.0 states/eV per cell
data_CsK3Sc
_symmetry_space_group_name_H-M 'P 1'
_symmetry_Int_Tables_number 1
_symmetry_space_group_name_Hall 'P 1'
_cell_length_a 7.300
_cell_length_b 7.300
_cell_length_c 7.300
_cell_angle_alpha 90.00
_cell_angle_beta 90.00
_cell_angle_gamma 90.00
loop_
_atom_site_label
_atom_site_fract_x
_atom_site_fract_y
_atom_site_fract_z
K1 0.000 0.000 0.500
K2 0.500 0.000 0.000
K3 0.000 0.500 0.000
Cs1 0.000 0.000 0.000
Sc1 0.500 0.500 0.500



# GGA-PBE CsKSc2, relaxed
# ΔH_f (0 K) ... 0.923 eV per atom
# Spin magnetization ... 2.30 μB per cell
# V ... 311 Å³/cell
# D(E_F) ... 14.2 states/eV per cell
data_CsKSc2
_symmetry_space_group_name_H-M 'P 1'
_symmetry_Int_Tables_number 1
_symmetry_space_group_name_Hall 'P 1'
_cell_length_a 4.702
_cell_length_b 4.702
_cell_length_c 14.458
_cell_angle_alpha 80.64
_cell_angle_beta 80.64
_cell_angle_gamma 90.00
loop_
_atom_site_label
_atom_site_fract_x
_atom_site_fract_y
_atom_site_fract_z
Sc1 0.875 0.872 0.750
Sc2 0.375 0.378 0.750
Sc3 0.622 0.125 0.250
Sc4 0.128 0.625 0.250
Cs1 0.000 0.000 0.000
Cs2 0.750 0.250 0.500
K1 0.500 0.500 0.000
K2 0.250 0.750 0.500